First-principles (PBE) data for a relaxed Dy2Be4Ge3Ir crystal, as listed in the Alexandria database.

DFT formation energy: -0.49 eV/atom

Unit cell a=3.8771 b=3.8771 c=10.0027 alpha=90.00 beta=90.00 gamma=90.00
Sites, in units of the cell vectors:
Dy 0.0000 0.5000 0.2494
Dy 0.5000 0.0000 0.7506
Be 0.0000 0.0000 0.5000
Be 0.0000 0.5000 0.8669
Be 0.5000 0.0000 0.1331
Be 0.5000 0.5000 0.5000
Ge 0.0000 0.0000 0.0000
Ge 0.0000 0.5000 0.6345
Ge 0.5000 0.0000 0.3655
Ir 0.5000 0.5000 0.0000

=====

First-principles (PBE) data for a relaxed LaMoH2 crystal, as listed in the Alexandria database.

Uncorrected energy: -5.614 eV/atom

Unit cell a=5.2762 b=5.2762 c=5.2762 alpha=118.95 beta=118.95 gamma=91.83
Sites, in units of the cell vectors:
La 0.0000 0.0000 0.0000
La 0.7500 0.2500 0.5000
Mo 0.2500 0.7500 0.5000
Mo 0.5000 0.5000 0.0000
H 0.2055 0.6250 0.0805
H 0.3750 0.4555 0.5805
H 0.5445 0.1250 0.9195
H 0.8750 0.7945 0.4195

=====

First-principles (PBE) data for a relaxed NdScCd2Pd4 crystal, as listed in the Alexandria database.

DFT formation energy: -0.67 eV/atom

Unit cell a=8.4463 b=8.4463 c=8.4463 alpha=32.50 beta=32.50 gamma=32.50
Sites, in units of the cell vectors:
Nd 0.0000 0.0000 0.0000
Sc 0.5000 0.5000 0.5000
Cd 0.2471 0.2471 0.2471
Cd 0.7529 0.7529 0.7529
Pd 0.1285 0.1285 0.1285
Pd 0.3862 0.3862 0.3862
Pd 0.6138 0.6138 0.6138
Pd 0.8715 0.8715 0.8715

=====

First-principles (PBE) data for a relaxed Nd8MgRh2 crystal, as listed in the Alexandria database.

DFT formation energy: -0.16 eV/atom

Unit cell a=7.6470 b=7.6470 c=7.2034 alpha=108.38 beta=108.38 gamma=68.61
Sites, in units of the cell vectors:
Nd 0.0804 0.6919 0.7080
Nd 0.1656 0.1656 0.8106
Nd 0.3081 0.9196 0.2920
Nd 0.3777 0.3777 0.3020
Nd 0.6223 0.6223 0.6980
Nd 0.6919 0.0804 0.7080
Nd 0.8344 0.8344 0.1894
Nd 0.9196 0.3081 0.2920
Mg 0.5000 0.5000 0.0000
Rh 0.3191 0.3191 0.6248
Rh 0.6809 0.6809 0.3752